## Y3Er3ScTe8 (PBE)

Data for crystalline Y3Er3ScTe8 at its relaxed geometry.

```
Y3Er3ScTe8
1.0
-3.137 -3.204 -7.375
6.764 -3.770 3.812
-7.841 -0.566 3.581
Y Er Sc Te
3 3 1 8
direct
0.000 0.000 0.000 Y
0.000 0.500 0.000 Y
0.500 0.500 0.000 Y
0.500 0.000 0.500 Er
0.500 0.500 0.500 Er
0.000 0.500 0.500 Er
0.000 0.000 0.500 Sc
0.251 0.502 0.254 Te
0.749 0.498 0.746 Te
0.751 0.503 0.254 Te
0.249 0.497 0.746 Te
0.751 0.003 0.254 Te
0.249 0.997 0.746 Te
0.251 0.003 0.254 Te
0.749 0.997 0.746 Te
```

Density, g/cm3: 6.69
Total energy, eV/atom: -5.624
Symmetry: R-3m (166)
ΔE_f (raw), eV/atom: -1.32